A plane-wave DFT calculation with PBE was carried out for an optimized crystal structure of HoAlPdRh.

Formation enthalpy at 0 K = -0.86 eV/atom
Total DFT energy (no corrections) = -24.32 eV per formula unit

Geometry as POSCAR:
```
HoAlPdRh
1.0
-4.5369 0.0263 -0.8295
-2.3794 -3.9505 0.0663
-2.9749 -0.8431 3.4222
Rh Ho Pd Al
1 1 1 1
direct
0.5000 0.5000 0.5000
0.2500 0.2500 0.2500
0.0000 0.0000 0.0000
0.7500 0.7500 0.7500
```